No. 1
An optimized crystal structure of Ba2TiHg. Source: Alexandria, functional PBE-GGA.

Values from the calculation:
As for the formation energy: 0.574 eV/atom. As for the density of states at the Fermi level: 7.399 states/eV/f.u. The calculation puts the magnetic moment at 1.44 Bohr magnetons per cell. Its total energy is -39.0 eV for the cell shown. As for the space group: I-42d, No. 122. The excess energy over the best structure of this formula in the dataset comes out at 166.4 meV per atom.

Lattice parameters (Å, degrees): 9.2096 9.2096 6.8164 90.00 90.00 90.00
With the nearest neighbours (Å) after each atom.
Atoms (fractional coordinates):
Ba 0.2413 0.2500 0.1250  2 Hg 3.31, 2 Ba 3.41, 2 Ti 3.42
Ba 0.2500 0.7413 0.3750  2 Hg 3.31, 2 Ba 3.41, 2 Ti 3.42
Ba 0.2500 0.7587 0.8750  2 Hg 3.31, 2 Ba 3.41, 2 Ti 3.42
Ba 0.2587 0.2500 0.6250  2 Hg 3.31, 2 Ba 3.41, 2 Ti 3.42
Ba 0.7413 0.7500 0.6250  2 Hg 3.31, 2 Ba 3.41, 2 Ti 3.42
Ba 0.7500 0.2413 0.8750  2 Hg 3.31, 2 Ba 3.41, 2 Ti 3.42
Ba 0.7500 0.2587 0.3750  2 Hg 3.31, 2 Ba 3.41, 2 Ti 3.42
Ba 0.7587 0.7500 0.1250  2 Hg 3.31, 2 Ba 3.41, 2 Ti 3.42
Ti 0.0000 0.0000 0.5000  2 Hg 3.41, 4 Ba 3.42
Ti 0.0000 0.5000 0.7500  2 Hg 3.41, 4 Ba 3.42
Ti 0.5000 0.0000 0.2500  2 Hg 3.41, 4 Ba 3.42
Ti 0.5000 0.5000 0.0000  2 Hg 3.41, 4 Ba 3.42
Hg 0.0000 0.0000 0.0000  4 Ba 3.31, 2 Ti 3.41
Hg 0.0000 0.5000 0.2500  4 Ba 3.31, 2 Ti 3.41
Hg 0.5000 0.0000 0.7500  4 Ba 3.31, 2 Ti 3.41
Hg 0.5000 0.5000 0.5000  4 Ba 3.31, 2 Ti 3.41



No. 2
An optimized crystal structure of TaCuRh. Source: Alexandria, functional PBE-GGA.

Values from the calculation:
As for the formation energy: -0.315 eV/atom. As for the density of states at the Fermi level: 1.878 states/eV/f.u. The calculation puts the magnetic moment at 0.00 Bohr magnetons per cell. Its total energy is -48.5 eV for the cell shown. As for the space group: Imm2, No. 44. The excess energy over the best structure of this formula in the dataset comes out at 0.0 meV per atom.

Lattice parameters (Å, degrees): 2.8913 3.7143 8.2399 90.00 90.00 90.00
With the nearest neighbours (Å) after each atom.
Atoms (fractional coordinates):
Ta 0.0000 0.0000 0.0000  5 Rh 2.72-2.74, 5 Cu 2.73-2.74, 2 Ta 2.89
Ta 0.5000 0.5000 0.5000  5 Rh 2.72-2.74, 5 Cu 2.73-2.74, 2 Ta 2.89
Cu 0.0000 0.0000 0.6679  5 Rh 2.71-2.79, 5 Ta 2.73-2.74, 2 Cu 2.89
Cu 0.5000 0.5000 0.1679  5 Rh 2.71-2.79, 5 Ta 2.73-2.74, 2 Cu 2.89
Rh 0.0000 0.0000 0.3298  5 Cu 2.71-2.79, 5 Ta 2.72-2.74, 2 Rh 2.89
Rh 0.5000 0.5000 0.8298  5 Cu 2.71-2.79, 5 Ta 2.72-2.74, 2 Rh 2.89



No. 3
An optimized crystal structure of Pm6NdAl2. Source: Alexandria, functional PBE-GGA.

Values from the calculation:
As for the formation energy: -0.139 eV/atom. As for the density of states at the Fermi level: 9.822 states/eV/f.u. The calculation puts the magnetic moment at 0.00 Bohr magnetons per cell. Its total energy is -42.0 eV for the cell shown. As for the space group: C2/m, No. 12.

Lattice parameters (Å, degrees): 6.7076 6.7076 12.0405 108.54 108.54 32.96
With the nearest neighbours (Å) after each atom.
Atoms (fractional coordinates):
Pm 0.0221 0.0221 0.3265  2 Al 3.16, 3 Pm 3.52-3.54
Pm 0.3110 0.3110 0.1253  2 Al 3.19, 5 Pm 3.46-3.54
Pm 0.3117 0.3117 0.4130  2 Al 3.26, 4 Pm 3.46-3.57
Pm 0.6883 0.6883 0.5870  2 Al 3.26, 4 Pm 3.46-3.57
Pm 0.6890 0.6890 0.8747  2 Al 3.19, 5 Pm 3.46-3.54
Pm 0.9779 0.9779 0.6735  2 Al 3.16, 3 Pm 3.52-3.54
Nd 0.0000 0.0000 0.0000  4 Al 3.23
Al 0.3492 0.3492 0.7927  6 Pm 3.16-3.26, 2 Nd 3.23
Al 0.6508 0.6508 0.2073  6 Pm 3.16-3.26, 2 Nd 3.23



No. 4
An optimized crystal structure of Dy2CuSi4Pd3. Source: Alexandria, functional PBE-GGA.

Values from the calculation:
As for the density of states at the Fermi level: 3.621 states/eV/f.u. For the uncorrected formation energy, the calculation gives -0.79 eV per atom. The calculation puts the magnetic moment at 0.00 Bohr magnetons per cell. Its total energy is -58.5 eV for the cell shown. As for the space group: P-4m2, No. 115.

Lattice parameters (Å, degrees): 4.1101 4.1101 10.0933 90.00 90.00 90.00
With the nearest neighbours (Å) after each atom.
Atoms (fractional coordinates):
Dy 0.0000 0.5000 0.2458  8 Si 3.12-3.29, 6 Pd 3.17-3.22, 2 Cu 3.22
Dy 0.5000 0.0000 0.7542  8 Si 3.12-3.29, 6 Pd 3.17-3.22, 2 Cu 3.22
Cu 0.5000 0.5000 0.0000  4 Si 2.46
Si 0.0000 0.0000 0.5000  4 Pd 2.43
Si 0.0000 0.5000 0.8666  3 Pd 2.41-2.46, 2 Cu 2.46
Si 0.5000 0.0000 0.1334  3 Pd 2.41-2.46, 2 Cu 2.46
Si 0.5000 0.5000 0.5000  4 Pd 2.43
Pd 0.0000 0.0000 0.0000  4 Si 2.46
Pd 0.0000 0.5000 0.6281  5 Si 2.41-2.43
Pd 0.5000 0.0000 0.3719  5 Si 2.41-2.43



No. 5
An optimized crystal structure of CaTcGe2P. Source: Alexandria, functional PBE-GGA.

Values from the calculation:
As for the formation energy: 0.823 eV/atom. As for the density of states at the Fermi level: 4.609 states/eV/f.u. The calculation puts the magnetic moment at 3.04 Bohr magnetons per cell. Its total energy is -22.9 eV for the cell shown. As for the space group: P4/mmm, No. 123. The excess energy over the best structure of this formula in the dataset comes out at 0.0 meV per atom.

Lattice parameters (Å, degrees): 4.8009 4.8009 5.1040 90.00 90.00 90.00
With the nearest neighbours (Å) after each atom.
Atoms (fractional coordinates):
Ca 0.0000 0.0000 0.0000  2 P 2.55
Tc 0.5000 0.5000 0.0000  4 Ca 3.39, 8 Ge 3.50
Ge 0.0000 0.5000 0.5000  2 P 2.40
Ge 0.5000 0.0000 0.5000  2 P 2.40
P 0.0000 0.0000 0.5000  4 Ge 2.40, 2 Ca 2.55



No. 6
An optimized crystal structure of CaB2Mo. Source: Alexandria, functional PBE-GGA.

Values from the calculation:
As for the formation energy: 0.904 eV/atom. As for the density of states at the Fermi level: 3.063 states/eV/f.u. The calculation puts the magnetic moment at 5.26 Bohr magnetons per cell. Its total energy is -90.3 eV for the cell shown. As for the space group: Fm-3m, No. 225. The excess energy over the best structure of this formula in the dataset comes out at 251.5 meV per atom.

Lattice parameters (Å, degrees): 5.9448 5.9448 5.9448 90.00 90.00 90.00
With the nearest neighbours (Å) after each atom.
Atoms (fractional coordinates):
Ca 0.0000 0.0000 0.0000  8 B 2.57
Ca 0.0000 0.5000 0.5000  8 B 2.57
Ca 0.5000 0.0000 0.5000  8 B 2.57
Ca 0.5000 0.5000 0.0000  8 B 2.57
B 0.2500 0.2500 0.2500  4 Mo 2.57, 4 Ca 2.57
B 0.2500 0.2500 0.7500  4 Mo 2.57, 4 Ca 2.57
B 0.2500 0.7500 0.2500  4 Mo 2.57, 4 Ca 2.57
B 0.2500 0.7500 0.7500  4 Mo 2.57, 4 Ca 2.57
B 0.7500 0.2500 0.2500  4 Mo 2.57, 4 Ca 2.57
B 0.7500 0.2500 0.7500  4 Mo 2.57, 4 Ca 2.57
B 0.7500 0.7500 0.2500  4 Mo 2.57, 4 Ca 2.57
B 0.7500 0.7500 0.7500  4 Mo 2.57, 4 Ca 2.57
Mo 0.0000 0.0000 0.5000  8 B 2.57
Mo 0.0000 0.5000 0.0000  8 B 2.57
Mo 0.5000 0.0000 0.0000  8 B 2.57
Mo 0.5000 0.5000 0.5000  8 B 2.57



No. 7
An optimized crystal structure of CeH4. Source: Alexandria, functional PBE-GGA.

Values from the calculation:
As for the density of states at the Fermi level: 2.365 states/eV/f.u. The calculation puts the magnetic moment at 0.37 Bohr magnetons per cell. Its total energy is -41.4 eV for the cell shown. As for the space group: I4/m, No. 87. The excess energy over the best structure of this formula in the dataset comes out at 0.0 meV per atom.

Lattice parameters (Å, degrees): 4.5581 4.5581 3.8042 90.00 90.00 90.00
With the nearest neighbours (Å) after each atom.
Atoms (fractional coordinates):
Ce 0.0000 0.0000 0.0000  16 H 2.32-2.52
Ce 0.5000 0.5000 0.5000  16 H 2.32-2.52
H 0.0117 0.2913 0.5000  3 H 1.88-1.91
H 0.2087 0.5117 0.0000  3 H 1.88-1.91
H 0.2913 0.9883 0.5000  3 H 1.88-1.91
H 0.4883 0.2087 0.0000  3 H 1.88-1.91
H 0.5117 0.7913 0.0000  3 H 1.88-1.91
H 0.7087 0.0117 0.5000  3 H 1.88-1.91
H 0.7913 0.4883 0.0000  3 H 1.88-1.91
H 0.9883 0.7087 0.5000  3 H 1.88-1.91



No. 8
An optimized crystal structure of PmSn2Pt5. Source: Alexandria, functional PBE-GGA.

Values from the calculation:
As for the formation energy: -0.684 eV/atom. As for the density of states at the Fermi level: 3.059 states/eV/f.u. The calculation puts the magnetic moment at 0.00 Bohr magnetons per cell. Its total energy is -96.9 eV for the cell shown. As for the space group: Immm, No. 71.

Lattice parameters (Å, degrees): 4.2772 5.7373 12.9928 90.00 90.00 90.00
With the nearest neighbours (Å) after each atom.
Atoms (fractional coordinates):
Pm 0.0000 0.0000 0.0000  10 Pt 2.87-3.01
Pm 0.5000 0.5000 0.5000  10 Pt 2.87-3.01
Sn 0.0000 0.5000 0.2141  7 Pt 2.67-2.85
Sn 0.0000 0.5000 0.7859  7 Pt 2.67-2.85
Sn 0.5000 0.0000 0.2859  7 Pt 2.67-2.85
Sn 0.5000 0.0000 0.7141  7 Pt 2.67-2.85
Pt 0.0000 0.2403 0.3842  3 Sn 2.67-2.85, 4 Pt 2.76-2.98
Pt 0.0000 0.2403 0.6158  3 Sn 2.67-2.85, 4 Pt 2.76-2.98
Pt 0.0000 0.5000 0.0000  2 Sn 2.78, 2 Pm 2.87, 8 Pt 2.96
Pt 0.0000 0.7597 0.3842  3 Sn 2.67-2.85, 4 Pt 2.76-2.98
Pt 0.0000 0.7597 0.6158  3 Sn 2.67-2.85, 4 Pt 2.76-2.98
Pt 0.5000 0.0000 0.5000  2 Sn 2.78, 2 Pm 2.87, 8 Pt 2.96
Pt 0.5000 0.2597 0.1158  3 Sn 2.67-2.85, 4 Pt 2.76-2.98
Pt 0.5000 0.2597 0.8842  3 Sn 2.67-2.85, 4 Pt 2.76-2.98
Pt 0.5000 0.7403 0.1158  3 Sn 2.67-2.85, 4 Pt 2.76-2.98
Pt 0.5000 0.7403 0.8842  3 Sn 2.67-2.85, 4 Pt 2.76-2.98



No. 9
An optimized crystal structure of La3BAu. Source: Alexandria, functional PBE-GGA.

Values from the calculation:
As for the formation energy: -0.081 eV/atom. As for the density of states at the Fermi level: 7.218 states/eV/f.u. The calculation puts the magnetic moment at 0.00 Bohr magnetons per cell. Its total energy is -25.1 eV for the cell shown. As for the space group: Pm-3m, No. 221. The excess energy over the best structure of this formula in the dataset comes out at 0.0 meV per atom.

Lattice parameters (Å, degrees): 5.2580 5.2580 5.2580 90.00 90.00 90.00
With the nearest neighbours (Å) after each atom.
Atoms (fractional coordinates):
La 0.0000 0.0000 0.5000  2 B 2.63
La 0.0000 0.5000 0.0000  2 B 2.63
La 0.5000 0.0000 0.0000  2 B 2.63
B 0.0000 0.0000 0.0000  6 La 2.63
Au 0.5000 0.5000 0.5000  12 La 3.72



No. 10
An optimized crystal structure of Be2InCu. Source: Alexandria, functional PBE-GGA.

Values from the calculation:
As for the formation energy: 0.441 eV/atom. As for the density of states at the Fermi level: 1.797 states/eV/f.u. The calculation puts the magnetic moment at 0.00 Bohr magnetons per cell. Its total energy is -50.1 eV for the cell shown. As for the space group: I4_1/amd, No. 141.

Lattice parameters (Å, degrees): 4.0585 4.0585 15.4484 90.00 90.00 90.00
With the nearest neighbours (Å) after each atom.
Atoms (fractional coordinates):
Be 0.0000 0.0000 0.0000  2 Be 2.03, 2 Cu 2.18
Be 0.0000 0.5000 0.0000  2 Be 2.03, 2 Cu 2.18
Be 0.2500 0.2500 0.7500  2 Be 2.03, 2 Cu 2.18
Be 0.2500 0.7500 0.2500  2 Be 2.03, 2 Cu 2.18
Be 0.5000 0.0000 0.5000  2 Be 2.03, 2 Cu 2.18
Be 0.5000 0.5000 0.5000  2 Be 2.03, 2 Cu 2.18
Be 0.7500 0.2500 0.7500  2 Be 2.03, 2 Cu 2.18
Be 0.7500 0.7500 0.2500  2 Be 2.03, 2 Cu 2.18
In 0.0000 0.2500 0.3750  4 Cu 2.87, 8 Be 2.98
In 0.0000 0.7500 0.6250  4 Cu 2.87, 8 Be 2.98
In 0.5000 0.2500 0.1250  4 Cu 2.87, 8 Be 2.98
In 0.5000 0.7500 0.8750  4 Cu 2.87, 8 Be 2.98
Cu 0.0000 0.2500 0.8750  4 Be 2.18
Cu 0.0000 0.7500 0.1250  4 Be 2.18
Cu 0.5000 0.2500 0.6250  4 Be 2.18
Cu 0.5000 0.7500 0.3750  4 Be 2.18



Mass density / g/cm³: 6.01, 13.04, 6.38, 7.99, 4.44, 4.98, 6.06, 14.14, 7.13, 5.13